A plane-wave DFT calculation with PBE+U was carried out for an optimized crystal structure of MnSnI2F.

Space group: P4/mmm (123)
Energy in eV/atom: -4.1463

a b c (Å): 5.937 5.937 4.028
angles (deg): 90.00 90.00 90.00
Site moments in Bohr magnetons follow the coordinates.
Atoms (fractional coordinates):
I  0.000  0.500  0.000  0.02
Mn  0.000  0.000  0.000  4.62
F  0.000  0.000  0.500  0.05
I  0.500  0.000  0.000  0.02
Sn  0.500  0.500  0.500  -0.12